Crystalline MnTlPb2 at its relaxed geometry. Source: Alexandria, functional GGA-PBE.

Offset from the most stable computed form ... 135 meV/atom
ΔE_f ... 354 meV/atom
Total magnetization ... 1.089 μB per atom
E ... -17.54 eV per cell

```
MnTlPb2
1.0
4.503 0.000 0.000
0.000 4.884 0.000
0.000 0.000 4.884
Mn Pb Tl
1 2 1
direct
0.500 0.000 0.500 Mn
0.000 0.000 0.000 Pb
0.000 0.500 0.500 Pb
0.500 0.500 0.000 Tl
```

***

Crystalline MnTl2Pb at its relaxed geometry. Source: Alexandria, functional GGA-PBE.

Offset from the most stable computed form ... 84 meV/atom
ΔE_f ... 347 meV/atom
Total magnetization ... 1.093 μB per atom
E ... -16.22 eV per cell

```
MnTl2Pb
1.0
10.553 0.026 0.015
9.987 3.411 0.015
9.987 1.671 2.974
Mn Pb Tl
1 1 2
direct
0.250 0.250 0.250 Mn
0.750 0.750 0.750 Pb
0.989 0.989 0.989 Tl
0.511 0.511 0.511 Tl
```

***

Crystalline MnTl2Pb at its relaxed geometry. Source: Alexandria, functional GGA-PBE.

Offset from the most stable computed form ... 166 meV/atom
ΔE_f ... 428 meV/atom
Total magnetization ... 1.164 μB per atom
E ... -15.90 eV per cell

```
MnTl2Pb
1.0
4.458 -1.487 2.556
-0.147 -1.051 5.243
0.537 -5.032 1.736
Pb Tl Mn
1 2 1
direct
0.500 0.500 0.500 Pb
0.250 0.250 0.250 Tl
0.750 0.750 0.750 Tl
0.000 0.000 0.000 Mn
```

***

Crystalline MnTlPb at its relaxed geometry. Source: Alexandria, functional GGA-PBE.

Offset from the most stable computed form ... 12 meV/atom
ΔE_f ... 381 meV/atom
Total magnetization ... 1.215 μB per atom
E ... -14.10 eV per cell

```
MnTlPb
1.0
-1.901 -2.091 -6.302
1.343 -1.218 -6.664
0.870 -3.264 -0.085
Mn Pb Tl
1 1 1
direct
0.002 0.002 0.998 Mn
0.357 0.357 0.643 Pb
0.641 0.641 0.359 Tl
```

***

Crystalline MnTlPb2 at its relaxed geometry. Source: Alexandria, functional GGA-PBE.

Offset from the most stable computed form ... 73 meV/atom
ΔE_f ... 292 meV/atom
Total magnetization ... 1.014 μB per atom
E ... -17.78 eV per cell

```
MnTlPb2
1.0
-2.027 1.543 -2.329
0.906 -2.364 -2.346
-6.728 -5.063 2.504
Mn Pb Tl
1 2 1
direct
0.500 0.500 0.745 Mn
0.000 0.000 0.955 Pb
0.500 0.500 0.257 Pb
0.000 0.000 0.543 Tl
```

***

Crystalline MnTl2Pb at its relaxed geometry. Source: Alexandria, functional GGA-PBE.

Offset from the most stable computed form ... 120 meV/atom
ΔE_f ... 383 meV/atom
Total magnetization ... 1.097 μB per atom
E ... -16.08 eV per cell

```
MnTl2Pb
1.0
5.931 -0.084 0.000
2.410 5.420 0.000
-4.171 -2.668 3.267
Mn Pb Tl
1 1 2
direct
0.250 0.750 0.500 Mn
0.750 0.250 0.500 Pb
0.000 0.000 0.000 Tl
0.500 0.500 0.000 Tl
```

***

Crystalline MnTlPb2 at its relaxed geometry. Source: Alexandria, functional GGA-PBE.

Offset from the most stable computed form ... 128 meV/atom
ΔE_f ... 347 meV/atom
Total magnetization ... 1.031 μB per atom
E ... -17.57 eV per cell

```
MnTlPb2
1.0
5.626 0.190 -0.095
-1.512 5.422 -0.095
0.074 0.101 3.479
Mn Pb Tl
1 2 1
direct
0.000 0.500 0.500 Mn
0.000 0.000 0.000 Pb
0.500 0.500 0.000 Pb
0.500 0.000 0.500 Tl
```

***

Crystalline MnTl2Pb at its relaxed geometry. Source: Alexandria, functional GGA-PBE.

Offset from the most stable computed form ... 110 meV/atom
ΔE_f ... 372 meV/atom
Total magnetization ... 1.089 μB per atom
E ... -16.12 eV per cell

```
MnTl2Pb
1.0
5.190 0.000 0.000
0.000 4.514 0.000
0.000 0.000 4.514
Mn Pb Tl
1 1 2
direct
0.500 0.500 0.000 Mn
0.500 0.000 0.500 Pb
0.000 0.000 0.000 Tl
0.000 0.500 0.500 Tl
```

***

Crystalline MnTlPb at its relaxed geometry. Source: Alexandria, functional GGA-PBE.

Offset from the most stable computed form ... 82 meV/atom
ΔE_f ... 451 meV/atom
Total magnetization ... 1.428 μB per atom
E ... -13.89 eV per cell

```
MnTlPb
1.0
4.983 0.000 0.000
-2.491 4.315 0.000
0.000 0.000 3.583
Mn Pb Tl
1 1 1
direct
0.000 0.000 0.957 Mn
0.667 0.333 0.287 Pb
0.333 0.667 0.756 Tl
```

***

Crystalline MnTl2Pb at its relaxed geometry. Source: Alexandria, functional GGA-PBE.

Offset from the most stable computed form ... 110 meV/atom
ΔE_f ... 373 meV/atom
Total magnetization ... 1.047 μB per atom
E ... -16.12 eV per cell

```
MnTl2Pb
1.0
4.315 0.000 0.000
0.000 3.400 0.247
0.000 2.311 7.307
Mn Pb Tl
1 1 2
direct
0.500 0.250 0.250 Mn
0.500 0.750 0.750 Pb
0.000 0.998 0.030 Tl
0.000 0.502 0.470 Tl
```

***

Crystalline MnTl2Pb at its relaxed geometry. Source: Alexandria, functional GGA-PBE.

Offset from the most stable computed form ... 58 meV/atom
ΔE_f ... 321 meV/atom
Total magnetization ... 0.979 μB per atom
E ... -16.33 eV per cell

```
MnTl2Pb
1.0
4.392 0.000 0.000
0.000 3.482 0.019
0.000 1.791 7.082
Mn Pb Tl
1 1 2
direct
0.000 0.289 0.554 Mn
0.500 0.721 0.683 Pb
0.000 0.059 0.000 Tl
0.500 0.431 0.263 Tl
```

***

Crystalline MnTlPb2 at its relaxed geometry. Source: Alexandria, functional GGA-PBE.

Offset from the most stable computed form ... 102 meV/atom
ΔE_f ... 321 meV/atom
Total magnetization ... 1.040 μB per atom
E ... -17.67 eV per cell

```
MnTlPb2
1.0
-1.183 9.650 -4.149
-2.909 10.092 -1.195
0.518 10.482 -1.265
Mn Pb Tl
1 2 1
direct
0.750 0.750 0.750 Mn
0.012 0.012 0.012 Pb
0.248 0.248 0.248 Pb
0.489 0.489 0.489 Tl
```